1.
12
Lattice="-1.563 0.467 -6.266 1.202 -6.099 -0.859 -8.019 -1.842 1.862" Properties=species:S:1:pos:R:3 comment="BaU2PaS8, relaxed, DFT PBE-GGA" magmom_total_mub_per_atom=0.25 formation_energy_uncorrected_ev_per_fu=-17.04 pbc="T T T"
S -5.669 -5.953 -0.230
S -1.068 -4.896 -1.299
S -0.173 -4.097 -4.798
S -8.207 -3.377 -0.465
S -4.106 -5.020 -3.541
S -4.273 -2.453 -1.722
S -2.711 -1.521 -5.033
S -7.312 -2.578 -3.964
Ba -4.009 -0.921 0.931
Pa 0.000 0.000 0.000
U -2.165 -3.272 -3.102
U -6.215 -4.202 -2.161

=====

2.
12
Lattice="2.619 0.000 0.000 0.000 4.590 -0.096 0.000 -0.133 6.569" Properties=species:S:1:pos:R:3 comment="B5C7, relaxed, DFT PBE-GGA" magmom_total_mub_per_atom=0.00 formation_enthalpy_0k_ev_per_atom=0.289 de_polymorph_mev_per_atom=30.8 pbc="T T T"
C 1.309 2.137 1.539
C 1.309 0.715 4.381
C 1.309 3.843 3.811
C 0.000 -0.090 6.433
C 1.309 2.192 0.008
C 1.309 0.643 5.953
C 0.000 1.441 3.897
B 0.000 2.911 6.218
B 1.309 3.658 2.229
B 0.000 4.499 1.324
B 0.000 1.684 2.299
B 0.000 3.045 4.037

=====

3.
4
Lattice="10.184 0.021 0.012 9.758 2.916 0.012 9.758 1.437 2.537" Properties=species:S:1:pos:R:3 comment="ScTa2Mo, relaxed, DFT PBE-GGA" magmom_total_mub_per_atom=0.00 formation_enthalpy_0k_ev_per_atom=0.333 de_polymorph_mev_per_atom=276.2 pbc="T T T"
Sc 22.322 3.287 1.925
Mo 14.872 2.190 1.283
Ta 7.376 1.086 0.636
Ta 29.679 4.370 2.560